Entry 1:
Computed, not measured: crystalline Na2Cu5Se4 at its relaxed geometry at the PBE-GGA level of DFT.

a = 5.1297 Å, b = 12.6538 Å, c = 13.6248 Å
α = 90.00°, β = 90.00°, γ = 90.00°
Space group Fmmm (No. 69)
Symmetry-distinct sites (fractional):
Na: 0.0000 0.0000 0.1591 (multiplicity 8)
Cu: 0.0000 0.0000 0.5000 (multiplicity 4)
Cu: 0.2500 0.2500 0.0000 (multiplicity 8)
Cu: 0.2500 0.2500 0.2500 (multiplicity 8)
Se: 0.0000 0.1427 0.3729 (multiplicity 16)

Summary:
The value obtained for the uncorrected formation energy is -0.2589 eV/atom. The calculation puts the total magnetic moment at 0.0 μB per formula unit. The crystal system is orthorhombic.

Entry 2:
Computed, not measured: crystalline Ca3Zn2Au at its relaxed geometry at the PBE-GGA level of DFT.

a = 3.6381 Å, b = 3.6381 Å, c = 11.1447 Å
α = 90.00°, β = 90.00°, γ = 90.00°
Space group P4/mmm (No. 123)
Symmetry-distinct sites (fractional):
Ca: 0.0000 0.0000 0.0000 (multiplicity 1)
Ca: 0.0000 0.0000 0.3375 (multiplicity 2)
Zn: 0.5000 0.5000 0.1664 (multiplicity 2)
Au: 0.5000 0.5000 0.5000 (multiplicity 1)

Summary:
The value obtained for the formation energy is -425 meV/atom. The calculation puts the total magnetic moment at 0.0 μB per formula unit. The crystal system is tetragonal.

Entry 3:
Computed, not measured: crystalline SrCaCo2 at its relaxed geometry at the PBE-GGA level of DFT.

a = 3.6220 Å, b = 3.6220 Å, c = 25.3096 Å
α = 90.00°, β = 90.00°, γ = 120.00°
Space group R-3m (No. 166, hexagonal axes)
Symmetry-distinct sites (fractional):
Sr: 0.0000 0.0000 0.0000 (multiplicity 3)
Ca: 0.0000 0.0000 0.5000 (multiplicity 3)
Co: 0.0000 0.0000 0.2469 (multiplicity 6)

Summary:
The value obtained for the formation energy is 818 meV/atom. The calculation puts the total magnetic moment at 2.2 μB per formula unit. The crystal system is trigonal. The distance to the lowest polymorph of the same formula is 609 meV/atom.

Entry 4:
Computed, not measured: crystalline Li2TcSe at its relaxed geometry at the PBE-GGA level of DFT.

a = 2.7174 Å, b = 4.4377 Å, c = 5.3280 Å
α = 90.00°, β = 103.95°, γ = 90.00°
Space group Pm (No. 6)
Symmetry-distinct sites (fractional):
Li: 0.0000 0.0000 0.0000 (multiplicity 1)
Li: 0.3408 0.5000 0.7193 (multiplicity 1)
Tc: 0.7201 0.0000 0.4750 (multiplicity 1)
Se: 0.6193 0.5000 0.2607 (multiplicity 1)

Summary:
The value obtained for the uncorrected formation energy is -0.0478 eV/atom. The calculation puts the total magnetic moment at 0.0 μB per formula unit. The crystal system is monoclinic.

Entry 5:
Computed, not measured: crystalline InAs2Pb at its relaxed geometry at the PBE-GGA level of DFT.

a = 4.5579 Å, b = 4.6186 Å, c = 4.6792 Å
α = 90.00°, β = 90.00°, γ = 90.00°
Space group Pmmm (No. 47)
Symmetry-distinct sites (fractional):
In: 0.0000 0.0000 0.0000 (multiplicity 1)
As: 0.5000 0.0000 0.5000 (multiplicity 1)
As: 0.5000 0.5000 0.0000 (multiplicity 1)
Pb: 0.0000 0.5000 0.5000 (multiplicity 1)

Summary:
The value obtained for the formation energy is 216 meV/atom. The calculation puts the total magnetic moment at 0.0 μB per formula unit. The crystal system is orthorhombic. The distance to the lowest polymorph of the same formula is 226 meV/atom.

Entry 6:
Computed, not measured: crystalline SbO at its relaxed geometry at the PBE-GGA level of DFT.

a = 8.0275 Å, b = 8.0275 Å, c = 8.0275 Å
α = 90.00°, β = 90.00°, γ = 90.00°
Space group I-43m (No. 217)
Symmetry-distinct sites (fractional):
Sb: 0.1470 0.1470 0.8530 (multiplicity 8)
O: 0.1196 0.1196 0.1196 (multiplicity 8)

Summary:
The value obtained for the uncorrected formation energy is -0.5344 eV/atom. The calculation puts the total magnetic moment at 0.5 μB per formula unit. The crystal system is cubic.

Entry 7:
Computed, not measured: crystalline ZrCo2I at its relaxed geometry at the PBE-GGA level of DFT.

a = 6.4267 Å, b = 6.4267 Å, c = 6.4267 Å
α = 90.00°, β = 90.00°, γ = 90.00°
Space group Fm-3m (No. 225)
Symmetry-distinct sites (fractional):
Zr: 0.0000 0.0000 0.0000 (multiplicity 4)
Co: 0.2500 0.2500 0.2500 (multiplicity 8)
I: 0.0000 0.0000 0.5000 (multiplicity 4)

Summary:
The value obtained for the uncorrected formation energy is 0.4981 eV/atom. The calculation puts the total magnetic moment at 0.9 μB per formula unit. The crystal system is cubic. The distance to the lowest polymorph of the same formula is 0 meV/atom.

Entry 8:
Computed, not measured: crystalline Tm2TlHg6 at its relaxed geometry at the PBE-GGA level of DFT.

a = 16.0288 Å, b = 8.3427 Å, c = 3.5161 Å
α = 90.00°, β = 102.09°, γ = 90.00°
Space group C2/m (No. 12)
Symmetry-distinct sites (fractional):
Tm: 0.1483 0.0000 0.1417 (multiplicity 4)
Tl: 0.0000 0.5000 0.0000 (multiplicity 2)
Hg: 0.0000 0.1769 0.5000 (multiplicity 4)
Hg: 0.1749 0.3242 0.6705 (multiplicity 8)

Summary:
The value obtained for the formation energy is -202 meV/atom. The calculation puts the total magnetic moment at 0.0 μB per formula unit. The crystal system is monoclinic.

no.,mass density (g cm⁻³)
1,5.10
2,5.04
3,4.25
4,5.08
5,7.95
6,3.54
7,8.41
8,12.61